A relaxed Ce4PmHg5 crystal, computed with PBE.

Space-group type   P4/mmm (123)
Fermi-level density of states   3.618 states/eV/atom
ΔH_f (0 K)   -323 meV/atom
Calculated density   10.2 g/cm³

a = 3.833 Å, b = 3.833 Å, c = 19.017 Å
α = 90.00°, β = 90.00°, γ = 90.00°
Fractional coordinates of all 10 atoms:
Hg1 0.500 0.500 0.098
Hg2 0.500 0.500 0.700
Hg3 0.500 0.500 0.300
Hg4 0.500 0.500 0.500
Hg5 0.500 0.500 0.902
Pm1 0.000 0.000 0.000
Ce1 0.000 0.000 0.800
Ce2 0.000 0.000 0.400
Ce3 0.000 0.000 0.600
Ce4 0.000 0.000 0.200